# 1
Hf2ScNi | PBE | relaxed

Unit cell a=4.3636 b=4.3636 c=15.4090 alpha=90.00 beta=90.00 gamma=120.00
Space group R3m (No. 160, hexagonal axes)
Unique sites:
Hf (0.0000, 0.0000, 0.0000) [3 per cell]
Hf (0.0000, 0.0000, 0.2198) [3 per cell]
Sc (0.0000, 0.0000, 0.4356) [3 per cell]
Ni (0.0000, 0.0000, 0.6209) [3 per cell]

energy of formation from the pure elements: 12 kJ/mol of atoms

---

# 2
Hf3ScNi | PBE | relaxed

Unit cell a=4.911 b=4.911 c=4.911 alpha=90.00 beta=90.00 gamma=90.00
Space group Pm-3m (No. 221)
Unique sites:
Hf (0.000, 0.000, 0.500) [3 per cell]
Sc (0.000, 0.000, 0.000) [1 per cell]
Ni (0.500, 0.500, 0.500) [1 per cell]

energy of formation from the pure elements: 147 kJ/mol of atoms

---

| no. | distance to the lowest polymorph of the same formula (eV/atom) |
| --- | --- |
| 1 | 0.357 |
| 2 | 1.313 |